HfPPb | PBE-GGA | optimized geometry

Computed properties:
Formation energy, eV per atom: -0.2158
V, Å³ per cell: 315
Final energy, eV/atom: -6.573

abc: 9.144 9.144 3.763
angles: 90.00 90.00 90.00
Space group P4_2/m (No. 84)
Asymmetric unit:
Hf  0.163  0.761  0.000 [4 per cell]
P  0.003  0.303  0.500 [4 per cell]
Pb  0.268  0.448  0.000 [4 per cell]